A geometry-optimized GdYCuRh structure. Source: Alexandria via LeMat-Bulk, functional GGA-PBE.

Cell: 6.953 6.953 6.953 Å, 90.00 90.00 90.00°
Element x y z (fractional)
Gd  0.000  0.000  0.000
Gd  0.000  0.500  0.500
Gd  0.500  0.000  0.500
Gd  0.500  0.500  0.000
Y  0.000  0.000  0.500
Y  0.000  0.500  0.000
Y  0.500  0.000  0.000
Y  0.500  0.500  0.500
Cu  0.250  0.250  0.250
Cu  0.250  0.750  0.750
Cu  0.750  0.250  0.750
Cu  0.750  0.750  0.250
Rh  0.250  0.250  0.750
Rh  0.250  0.750  0.250
Rh  0.750  0.250  0.250
Rh  0.750  0.750  0.750

ΔH_f (0 K) ... -203 kJ/mol of formula units
Final energy ... -8.52 eV per atom
Space group ... F-43m